(1)
An optimized crystal structure of NaMg2HPb. Source: Alexandria via LeMat-Bulk, functional PBE-GGA.

a = 4.6430 Å, b = 4.6430 Å, c = 4.5168 Å
α = 90.00°, β = 90.00°, γ = 90.00°
With the nearest neighbours (Å) after each atom.
Space group P4/mmm (No. 123)
Inequivalent atoms, fractional coordinates:
Na 0.0000 0.0000 0.0000 [1 per cell]  2 H 2.26
Mg 0.0000 0.5000 0.5000 [2 per cell]  2 H 2.32
H 0.0000 0.0000 0.5000 [1 per cell]  2 Na 2.26, 4 Mg 2.32
Pb 0.5000 0.5000 0.0000 [1 per cell]  8 Mg 3.24, 4 Na 3.28

Calculated values
Total energy, eV for the cell shown: -11.86
Magnetic moment, μB/f.u.: 0.00

=====

(2)
An optimized crystal structure of YCd2Si. Source: Alexandria via LeMat-Bulk, functional PBE-GGA.

a = 4.2818 Å, b = 4.7037 Å, c = 8.9610 Å
α = 90.00°, β = 90.00°, γ = 90.00°
With the nearest neighbours (Å) after each atom.
Space group Imm2 (No. 44)
Inequivalent atoms, fractional coordinates:
Y 0.0000 0.0000 0.0000 [2 per cell]  4 Si 3.01-3.33, 8 Cd 3.14-3.22
Cd 0.0000 0.0000 0.4510 [2 per cell]  2 Si 2.88, 2 Cd 3.06, 4 Y 3.21
Cd 0.0000 0.5000 0.2320 [2 per cell]  4 Cd 3.06-3.31, 4 Y 3.14-3.22, 4 Si 3.18
Si 0.0000 0.5000 0.7366 [2 per cell]  6 Cd 2.88-3.18, 2 Y 3.01

Calculated values
Energy relative to the elements, uncorrected, eV/f.u.: -0.4
Magnetic moment, μB/f.u.: 0.00

=====

(3)
An optimized crystal structure of SnAs2H. Source: Alexandria via LeMat-Bulk, functional PBE-GGA.

a = 5.5773 Å, b = 5.5773 Å, c = 10.4283 Å
α = 90.00°, β = 90.00°, γ = 90.00°
With the nearest neighbours (Å) after each atom.
Space group I-42d (No. 122)
Inequivalent atoms, fractional coordinates:
Sn 0.0000 0.0000 0.0000 [4 per cell]  4 As 2.70
As 0.1571 0.2500 0.6250 [8 per cell]  2 H 2.10
H 0.0000 0.0000 0.5000 [4 per cell]  4 As 2.10

Calculated values
Magnetic moment, μB/f.u.: 0.00
Energy above the lowest structure with this stoichiometry, eV/atom: 0.337

=====

(4)
An optimized crystal structure of Gd2UN. Source: Alexandria via LeMat-Bulk, functional PBE-GGA.

a = 3.4025 Å, b = 3.4025 Å, c = 27.0893 Å
α = 90.00°, β = 90.00°, γ = 120.00°
With the nearest neighbours (Å) after each atom.
Space group R-3m (No. 166, hexagonal axes)
Inequivalent atoms, fractional coordinates:
Gd 0.0000 0.0000 0.2192 [6 per cell]  3 N 2.43
U 0.0000 0.0000 0.0000 [3 per cell]  6 U 3.40, 6 Gd 3.66
N 0.0000 0.0000 0.5000 [3 per cell]  6 Gd 2.43

Calculated values
Energy relative to the elements, uncorrected, eV/f.u.: -1.7
Magnetic moment, μB/f.u.: 18.10

=====

(5)
An optimized crystal structure of Tm4HgTe2Se. Source: Alexandria via LeMat-Bulk, functional PBE-GGA.

a = 7.4194 Å, b = 4.0940 Å, c = 7.4638 Å
α = 90.00°, β = 107.91°, γ = 90.00°
With the nearest neighbours (Å) after each atom.
Space group P2/m (No. 10)
Inequivalent atoms, fractional coordinates:
Tm 0.2418 0.0000 0.2319 [2 per cell]  2 Hg 2.91, 1 Se 2.95, 3 Te 3.07-3.08
Tm 0.2571 0.5000 0.7755 [2 per cell]  2 Se 2.90, 1 Hg 2.90, 3 Te 3.11-3.12
Hg 0.0000 0.5000 0.0000 [1 per cell]  6 Tm 2.90-2.91
Te 0.0000 0.0000 0.5000 [1 per cell]  6 Tm 3.07-3.11
Te 0.5000 0.5000 0.5000 [1 per cell]  6 Tm 3.08-3.12
Se 0.5000 0.0000 0.0000 [1 per cell]  6 Tm 2.90-2.95

Calculated values
Energy relative to the elements, uncorrected, eV/f.u.: -9.0
Magnetic moment, μB/f.u.: 0.00

=====

(6)
An optimized crystal structure of AlIn2Sb. Source: Alexandria via LeMat-Bulk, functional PBE-GGA.

a = 4.2366 Å, b = 4.7192 Å, c = 5.0409 Å
α = 90.00°, β = 90.00°, γ = 90.00°
With the nearest neighbours (Å) after each atom.
Space group Pmmm (No. 47)
Inequivalent atoms, fractional coordinates:
Al 0.0000 0.0000 0.0000 [1 per cell]  4 Sb 3.17, 8 In 3.29-3.45
In 0.0000 0.5000 0.5000 [1 per cell]  4 In 3.17, 4 Sb 3.29, 4 Al 3.45
In 0.5000 0.0000 0.5000 [1 per cell]  4 In 3.17, 4 Al 3.29, 4 Sb 3.45
Sb 0.5000 0.5000 0.0000 [1 per cell]  4 Al 3.17, 8 In 3.29-3.45

Calculated values
Energy relative to the elements, uncorrected, eV/f.u.: 0.6
Magnetic moment, μB/f.u.: 0.00
Energy above the lowest structure with this stoichiometry, eV/atom: 0.072

=====

(7)
An optimized crystal structure of Ca2HoS3. Source: Alexandria via LeMat-Bulk, functional PBE-GGA.

a = 7.9578 Å, b = 11.2333 Å, c = 23.8076 Å
α = 90.00°, β = 90.00°, γ = 90.00°
With the nearest neighbours (Å) after each atom.
Space group Fddd (No. 70, origin choice 2)
Inequivalent atoms, fractional coordinates:
Ca 0.1250 0.1250 0.0424 [16 per cell]  6 S 2.82-2.85
Ca 0.1250 0.1250 0.3742 [16 per cell]  6 S 2.81-2.84
Ho 0.1250 0.1250 0.5418 [16 per cell]  6 S 2.77
S 0.1183 0.3750 0.8750 [16 per cell]  2 Ho 2.77, 4 Ca 2.81-2.84
S 0.1214 0.3716 0.7096 [32 per cell]  2 Ho 2.77, 4 Ca 2.82-2.85

Calculated values
Energy relative to the elements, uncorrected, eV/f.u.: -12.5
Magnetic moment, μB/f.u.: 0.00
Energy above the lowest structure with this stoichiometry, eV/atom: 0.000

=====

(8)
An optimized crystal structure of DyY3Tl2. Source: Alexandria via LeMat-Bulk, functional PBE-GGA.

a = 5.0939 Å, b = 10.0047 Å, c = 6.8326 Å
α = 90.00°, β = 90.00°, γ = 90.00°
With the nearest neighbours (Å) after each atom.
Space group Pmc2_1 (No. 26)
Inequivalent atoms, fractional coordinates:
Dy 0.0000 0.0427 0.0000 [2 per cell]  5 Tl 3.21-3.52, 2 Y 3.50, 2 Dy 3.52
Y 0.0000 0.3118 0.6254 [2 per cell]  4 Tl 3.22, 2 Y 3.50
Y 0.5000 0.1873 0.2806 [2 per cell]  4 Tl 3.21-3.22, 2 Dy 3.50
Y 0.5000 0.4568 0.9066 [2 per cell]  5 Tl 3.21-3.52, 4 Y 3.50-3.52
Tl 0.0000 0.3675 0.1619 [2 per cell]  8 Y 3.21-3.52, 1 Dy 3.43
Tl 0.5000 0.1328 0.7456 [2 per cell]  5 Y 3.21-3.42, 4 Dy 3.21-3.52

Calculated values
Energy relative to the elements, eV/atom: -0.30
Magnetic moment, μB/f.u.: 0.00
Energy above the lowest structure with this stoichiometry, eV/atom: 0.000

=====

(9)
An optimized crystal structure of YZr2Sc9. Source: Alexandria via LeMat-Bulk, functional PBE-GGA.

a = 4.6079 Å, b = 4.6079 Å, c = 13.9134 Å
α = 90.00°, β = 90.00°, γ = 90.00°
With the nearest neighbours (Å) after each atom.
Space group P4/mmm (No. 123)
Inequivalent atoms, fractional coordinates:
Y 0.0000 0.0000 0.0000 [1 per cell]  12 Sc 3.26-3.38
Zr 0.0000 0.0000 0.3347 [2 per cell]  12 Sc 3.17-3.26
Sc 0.0000 0.5000 0.1778 [4 per cell]  2 Zr 3.17, 8 Sc 3.20-3.38, 2 Y 3.38
Sc 0.0000 0.5000 0.5000 [2 per cell]  8 Sc 3.23-3.26, 4 Zr 3.26
Sc 0.5000 0.5000 0.0000 [1 per cell]  4 Y 3.26, 8 Sc 3.38
Sc 0.5000 0.5000 0.3374 [2 per cell]  8 Sc 3.20-3.23, 4 Zr 3.26

Calculated values
Energy relative to the elements, eV/atom: 0.04
Magnetic moment, μB/f.u.: 0.00

=====

(10)
An optimized crystal structure of Cu4PdPt3. Source: Alexandria via LeMat-Bulk, functional PBE-GGA.

a = 5.1739 Å, b = 8.9735 Å, c = 5.0355 Å
α = 90.00°, β = 90.00°, γ = 90.00°
With the nearest neighbours (Å) after each atom.
Space group Imm2 (No. 44)
Inequivalent atoms, fractional coordinates:
Cu 0.0000 0.2462 0.0000 [4 per cell]  5 Pt 2.51-2.59, 1 Pd 2.51
Cu 0.2493 0.0000 0.7612 [4 per cell]  4 Cu 2.58-2.83, 1 Pd 2.71, 3 Pt 2.72-2.84
Pd 0.0000 0.5000 0.7890 [2 per cell]  4 Cu 2.51-2.71, 4 Pt 2.60-2.65
Pt 0.0000 0.0000 0.2364 [2 per cell]  4 Cu 2.51-2.72, 2 Pd 2.60, 2 Pt 2.63
Pt 0.0000 0.2527 0.5007 [4 per cell]  4 Cu 2.51-2.59, 1 Pt 2.63, 1 Pd 2.65

Calculated values
Energy relative to the elements, eV/atom: 0.09
Magnetic moment, μB/f.u.: 0.00
Energy above the lowest structure with this stoichiometry, eV/atom: 0.225

=====

(11)
An optimized crystal structure of Zr2V6Os. Source: Alexandria via LeMat-Bulk, functional PBE-GGA.

a = 5.4245 Å, b = 5.4245 Å, c = 5.6579 Å
α = 90.00°, β = 90.00°, γ = 120.00°
With the nearest neighbours (Å) after each atom.
Space group P-3m1 (No. 164)
Inequivalent atoms, fractional coordinates:
Zr 0.3333 0.6667 0.3867 [2 per cell]  9 V 2.98-3.01, 3 Os 3.20
V 0.1749 0.3498 0.8428 [6 per cell]  4 V 2.42-2.58, 1 Os 2.54
Os 0.0000 0.0000 0.5000 [1 per cell]  6 V 2.54

Calculated values
Energy relative to the elements, eV/atom: -0.02
Magnetic moment, μB/f.u.: 0.00